First-principles (PBE) data for a relaxed PrPaN3 crystal, as listed in the Alexandria database.

abc: 3.550 6.597 7.292
angles: 95.14 90.00 105.61
Element x y z (fractional)
N1 0.731 0.462 0.675
Pa1 0.837 0.673 0.162
Pa2 0.163 0.327 0.838
Pr1 0.621 0.243 0.388
N2 0.033 0.066 0.585
N3 0.661 0.321 0.027
N4 0.339 0.679 0.973
N5 0.967 0.934 0.415
N6 0.269 0.538 0.325
Pr2 0.379 0.757 0.612

Calculated values
ΔE_f (raw): -1.30 eV per atom
Density of states at the Fermi level: 0.115 states/eV per atom
Symmetry: C2/m, No. 12

First-principles (PBE) data for a relaxed Pr5PaN6 crystal, as listed in the Alexandria database.

abc: 6.320 6.334 6.328
angles: 59.97 80.36 70.44
Element x y z (fractional)
Pr1 0.500 0.834 0.333
N1 0.767 0.383 0.695
N2 0.765 0.772 0.000
Pr2 0.000 0.333 0.333
N3 0.767 0.078 0.305
Pa1 0.000 0.000 0.000
N4 0.233 0.922 0.695
N5 0.233 0.617 0.305
Pr3 0.000 0.667 0.667
Pr4 0.500 0.500 0.000
N6 0.235 0.228 0.000
Pr5 0.500 0.166 0.667

Calculated values
ΔE_f (raw): -1.43 eV per atom
Density of states at the Fermi level: 0.298 states/eV per atom
Symmetry: C2/m, No. 12

First-principles (PBE) data for a relaxed Pr4PaN4 crystal, as listed in the Alexandria database.

abc: 3.633 6.379 8.171
angles: 75.62 77.15 73.46
Element x y z (fractional)
Pa1 0.500 0.000 0.000
N1 0.687 0.904 0.723
Pr1 0.890 0.826 0.393
Pr2 0.110 0.174 0.607
Pr3 0.704 0.401 0.191
N2 0.085 0.745 0.085
N3 0.313 0.096 0.277
N4 0.915 0.255 0.915
Pr4 0.296 0.599 0.809

Calculated values
ΔE_f (raw): -1.25 eV per atom
Density of states at the Fermi level: 0.675 states/eV per atom
Symmetry: C2/m, No. 12
Energy above the lowest structure with this stoichiometry: 0 meV per atom

First-principles (PBE) data for a relaxed PrPa2N3 crystal, as listed in the Alexandria database.

abc: 6.701 5.916 5.916
angles: 60.00 90.00 90.00
Element x y z (fractional)
Pa1 0.000 0.833 0.833
N1 0.750 0.000 0.000
Pa2 0.500 0.833 0.833
Pr1 0.750 0.500 0.500
Pa3 0.000 0.167 0.167
N2 0.750 0.000 0.500
Pr2 0.250 0.500 0.500
N3 0.250 0.000 0.000
Pa4 0.500 0.167 0.167
N4 0.750 0.500 0.000
N5 0.250 0.000 0.500
N6 0.250 0.500 0.000

Calculated values
ΔE_f (raw): -1.39 eV per atom
Density of states at the Fermi level: 0.573 states/eV per atom
Symmetry: P6/mmm, No. 191

First-principles (PBE) data for a relaxed Pr2Pa3N8 crystal, as listed in the Alexandria database.

abc: 5.871 7.103 6.872
angles: 121.12 108.77 90.00
Element x y z (fractional)
N1 0.613 0.098 0.770
Pa1 0.000 0.262 0.000
Pa2 0.000 0.738 0.000
N2 0.613 0.672 0.770
Pa3 0.500 0.000 0.000
N3 0.087 0.900 0.801
N4 0.387 0.328 0.230
N5 0.939 0.607 0.214
Pr1 0.648 0.716 0.433
Pr2 0.352 0.284 0.567
N6 0.061 0.393 0.786
N7 0.387 0.902 0.230
N8 0.913 0.100 0.199

Calculated values
ΔE_f (raw): -1.12 eV per atom
Density of states at the Fermi level: 0.736 states/eV per atom
Symmetry: C2/m, No. 12

First-principles (PBE) data for a relaxed PrPa2N crystal, as listed in the Alexandria database.

abc: 3.308 3.308 10.008
angles: 80.49 80.49 60.00
Element x y z (fractional)
Pa1 0.884 0.884 0.349
Pr1 0.000 0.000 0.000
Pa2 0.116 0.116 0.651
N1 0.500 0.500 0.500

Calculated values
ΔE_f (raw): -0.43 eV per atom
Density of states at the Fermi level: 1.669 states/eV per atom
Symmetry: R-3m, No. 166

First-principles (PBE) data for a relaxed PrPaN3 crystal, as listed in the Alexandria database.

abc: 4.349 4.349 4.349
angles: 90.00 90.00 90.00
Element x y z (fractional)
Pa1 0.000 0.000 0.000
N1 0.500 0.000 0.000
N2 0.000 0.000 0.500
Pr1 0.500 0.500 0.500
N3 0.000 0.500 0.000

Calculated values
ΔE_f (raw): -1.01 eV per atom
Density of states at the Fermi level: 0.487 states/eV per atom
Symmetry: Pm-3m, No. 221

First-principles (PBE) data for a relaxed PrPa7N12 crystal, as listed in the Alexandria database.

abc: 7.422 7.422 7.422
angles: 109.47 109.47 109.47
Last column: magnetic moment on the atom in μB.
Element x y z (fractional)
N1 0.492 0.311 0.181  -0.01
Pa1 0.500 0.500 0.000  0.33
N2 0.181 0.492 0.311  -0.01
Pa2 0.500 0.000 0.500  0.33
N3 0.130 0.311 0.819  -0.01
Pa3 0.500 0.000 0.000  0.13
Pa4 0.500 0.500 0.500  0.13
N4 0.508 0.689 0.819  -0.01
N5 0.689 0.181 0.870  -0.01
Pa5 0.000 0.500 0.000  0.13
N6 0.689 0.819 0.508  -0.01
N7 0.311 0.819 0.130  -0.01
N8 0.819 0.508 0.689  -0.01
N9 0.311 0.181 0.492  -0.01
Pa6 0.000 0.500 0.500  0.33
N10 0.181 0.870 0.689  -0.01
N11 0.819 0.130 0.311  -0.01
Pr1 0.000 0.000 0.000  0.08
N12 0.870 0.689 0.181  -0.01
Pa7 0.000 0.000 0.500  0.13

Calculated values
ΔE_f (raw): -1.48 eV per atom
Density of states at the Fermi level: 0.741 states/eV per atom
Symmetry: Im-3, No. 204

First-principles (PBE) data for a relaxed Pr3PaN4 crystal, as listed in the Alexandria database.

abc: 5.230 7.109 8.522
angles: 90.00 90.00 90.00
Element x y z (fractional)
N1 0.060 0.313 0.768
N2 0.560 0.687 0.732
N3 0.562 0.137 0.500
N4 0.060 0.313 0.232
Pr1 0.562 0.332 0.255
N5 0.062 0.863 0.000
Pr2 0.562 0.830 0.000
Pa1 0.055 0.179 0.000
Pr3 0.062 0.668 0.755
Pr4 0.062 0.668 0.245
Pr5 0.562 0.332 0.745
Pr6 0.062 0.170 0.500
N6 0.591 0.169 0.000
Pa2 0.555 0.821 0.500
N7 0.091 0.831 0.500
N8 0.560 0.687 0.268

Calculated values
ΔE_f (raw): -1.31 eV per atom
Density of states at the Fermi level: 0.558 states/eV per atom
Symmetry: Pmn2_1, No. 31
Energy above the lowest structure with this stoichiometry: 124 meV per atom

First-principles (PBE) data for a relaxed Pr3PaN5 crystal, as listed in the Alexandria database.

abc: 6.953 6.953 7.986
angles: 115.81 115.81 90.00
Last column: magnetic moment on the atom in μB.
Element x y z (fractional)
Pr1 0.323 0.823 0.000  0.00
N1 0.818 0.975 0.293  0.04
Pa1 0.750 0.250 0.500  0.01
N2 0.500 0.500 0.000  0.33
Pr2 0.750 0.750 0.500  0.00
N3 0.318 0.818 0.293  0.04
Pr3 0.677 0.177 0.000  0.00
Pa2 0.250 0.750 0.500  0.01
N4 0.975 0.475 0.293  0.04
Pr4 0.823 0.677 0.000  0.00
Pr5 0.250 0.250 0.500  0.00
Pr6 0.177 0.323 0.000  0.00
N5 0.000 0.000 0.000  0.33
N6 0.682 0.182 0.707  0.04
N7 0.475 0.318 0.293  0.04
N8 0.182 0.025 0.707  0.04
N9 0.025 0.525 0.707  0.04
N10 0.525 0.682 0.707  0.04

Calculated values
ΔE_f (raw): -0.91 eV per atom
Density of states at the Fermi level: 0.550 states/eV per atom
Symmetry: I4/mcm, No. 140

First-principles (PBE) data for a relaxed Pr3PaN4 crystal, as listed in the Alexandria database.

abc: 5.137 5.137 6.301
angles: 114.06 114.06 90.00
Element x y z (fractional)
N1 0.500 0.000 0.000
Pr1 0.250 0.750 0.500
Pr2 0.750 0.250 0.500
Pr3 0.500 0.500 0.000
Pa1 0.000 0.000 0.000
N2 0.781 0.781 0.562
N3 0.000 0.500 0.000
N4 0.219 0.219 0.438

Calculated values
ΔE_f (raw): -1.43 eV per atom
Density of states at the Fermi level: 0.336 states/eV per atom
Symmetry: I4/mmm, No. 139
Energy above the lowest structure with this stoichiometry: 0 meV per atom

First-principles (PBE) data for a relaxed PrPaN3 crystal, as listed in the Alexandria database.

abc: 4.091 6.804 6.611
angles: 97.07 108.02 90.00
Element x y z (fractional)
N1 0.830 0.390 0.660
N2 0.678 0.011 0.356
Pa1 0.128 0.907 0.256
Pr1 0.638 0.366 0.275
Pr2 0.362 0.634 0.725
N3 0.170 0.610 0.340
N4 0.947 0.809 0.893
N5 0.322 0.989 0.644
N6 0.053 0.191 0.107
Pa2 0.872 0.093 0.744

Calculated values
ΔE_f (raw): -1.20 eV per atom
Density of states at the Fermi level: 0.832 states/eV per atom
Symmetry: C2/m, No. 12